(1)
First-principles (PBE-GGA) data for Ce5CoAs2 after structural relaxation, as listed in Alexandria.

Values from the calculation:
The energy relative to the elements comes out at -0.773 eV/atom. The space group is Pbam (55). As for the calculated total energy: -6.532 eV per atom.

Unit cell a=7.5220 b=11.6903 c=4.3648 alpha=90.00 beta=90.00 gamma=90.00
Positions (direct):
Ce: 0.0000 0.0000 0.0000
Ce: 0.1173 0.3030 0.0000
Ce: 0.2259 0.5580 0.5000
Ce: 0.2741 0.0580 0.5000
Ce: 0.3827 0.8030 0.0000
Ce: 0.5000 0.5000 0.0000
Ce: 0.6173 0.1970 0.0000
Ce: 0.7259 0.9420 0.5000
Ce: 0.7741 0.4420 0.5000
Ce: 0.8827 0.6970 0.0000
Co: 0.0000 0.5000 0.0000
Co: 0.5000 0.0000 0.0000
As: 0.0977 0.8206 0.5000
As: 0.4023 0.3206 0.5000
As: 0.5977 0.6794 0.5000
As: 0.9023 0.1794 0.5000



(2)
First-principles (PBE-GGA) data for AlIn2Sb after structural relaxation, as listed in Alexandria.

Values from the calculation:
The value obtained for the formation energy without anion corrections is 0.637 eV per formula unit. The space group is C2/m (12). As for the calculated total energy: -3.176 eV per atom. The value obtained for the excess energy over the best structure of this formula in the dataset is 87.4 meV per atom.

Unit cell a=6.0664 b=6.0664 c=3.3084 alpha=100.61 beta=100.61 gamma=117.39
Positions (direct):
Al: 0.0000 0.0000 0.0000
In: 0.0000 0.5000 0.5000
In: 0.5000 0.0000 0.5000
Sb: 0.5000 0.5000 0.0000



(3)
First-principles (PBE-GGA) data for Cs2PuCu3Cl12 after structural relaxation, as listed in Alexandria.

Values from the calculation:
The value obtained for the formation energy without anion corrections is -20.953 eV per formula unit. The space group is R-3m (166). As for the calculated total energy: -3.969 eV per atom.

Unit cell a=10.2736 b=10.2736 c=10.2736 alpha=49.06 beta=49.06 gamma=49.06
Positions (direct):
Cs: 0.0996 0.0996 0.0996
Cs: 0.9004 0.9004 0.9004
Pu: 0.5000 0.5000 0.5000
Cu: 0.0000 0.5000 0.5000
Cu: 0.5000 0.0000 0.5000
Cu: 0.5000 0.5000 0.0000
Cl: 0.1571 0.5922 0.5922
Cl: 0.1876 0.1876 0.5849
Cl: 0.1876 0.5849 0.1876
Cl: 0.4078 0.4078 0.8429
Cl: 0.4078 0.8429 0.4078
Cl: 0.4151 0.8124 0.8124
Cl: 0.5849 0.1876 0.1876
Cl: 0.5922 0.1571 0.5922
Cl: 0.5922 0.5922 0.1571
Cl: 0.8124 0.4151 0.8124
Cl: 0.8124 0.8124 0.4151
Cl: 0.8429 0.4078 0.4078



(4)
First-principles (PBE-GGA) data for ScMoOs2 after structural relaxation, as listed in Alexandria.

Values from the calculation:
The energy relative to the elements comes out at 0.111 eV/atom. The space group is Cmmm (65). As for the calculated total energy: -9.795 eV per atom.

Unit cell a=2.7736 b=2.7736 c=8.8610 alpha=90.00 beta=90.00 gamma=112.16
Positions (direct):
Sc: 0.0000 0.0000 0.0000
Mo: 0.0000 0.0000 0.5000
Os: 0.5000 0.5000 0.2539
Os: 0.5000 0.5000 0.7461



(5)
First-principles (PBE-GGA) data for Y2TeAs after structural relaxation, as listed in Alexandria.

Values from the calculation:
The value obtained for the formation energy without anion corrections is -3.999 eV per formula unit. The space group is I-42d (122). As for the calculated total energy: -6.180 eV per atom. The value obtained for the excess energy over the best structure of this formula in the dataset is 516.1 meV per atom.

Unit cell a=8.1181 b=8.1181 c=8.1181 alpha=131.30 beta=131.30 gamma=71.33
Positions (direct):
Y: 0.0924 0.6250 0.9674
Y: 0.3750 0.3424 0.4674
Y: 0.6576 0.1250 0.0326
Y: 0.8750 0.9076 0.5326
Te: 0.2500 0.7500 0.5000
Te: 0.5000 0.5000 0.0000
As: 0.0000 0.0000 0.0000
As: 0.7500 0.2500 0.5000



(6)
First-principles (PBE-GGA) data for Ce3HoPd12 after structural relaxation, as listed in Alexandria.

Values from the calculation:
The energy relative to the elements comes out at -0.853 eV/atom. The space group is P4/mmm (123). As for the calculated total energy: -6.147 eV per atom.

Unit cell a=4.1458 b=4.1458 c=16.5596 alpha=90.00 beta=90.00 gamma=90.00
Positions (direct):
Ce: 0.0000 0.0000 0.0000
Ce: 0.0000 0.0000 0.2531
Ce: 0.0000 0.0000 0.7469
Ho: 0.0000 0.0000 0.5000
Pd: 0.0000 0.5000 0.1258
Pd: 0.0000 0.5000 0.3754
Pd: 0.0000 0.5000 0.6246
Pd: 0.0000 0.5000 0.8742
Pd: 0.5000 0.0000 0.1258
Pd: 0.5000 0.0000 0.3754
Pd: 0.5000 0.0000 0.6246
Pd: 0.5000 0.0000 0.8742
Pd: 0.5000 0.5000 0.0000
Pd: 0.5000 0.5000 0.2507
Pd: 0.5000 0.5000 0.5000
Pd: 0.5000 0.5000 0.7493